Density functional theory data (PBE-GGA) for a relaxed Co2Ni crystal.

Cell lengths 5.574, 5.574, 5.574 Å; angles 154.27, 154.27, 36.71 degrees
Fractional coordinates of all 3 atoms:
Co 0.168 0.168 0.000
Co 0.832 0.832 0.000
Ni 0.500 0.500 0.000

Computed properties:
For the calculated total energy, the calculation gives -19.97 eV/cell. The spin magnetization is 3.84 μB per formula unit. Its energy of formation is 0.007 eV/atom. The symmetry is I4/mmm (139).


Density functional theory data (PBE-GGA) for a relaxed CoNi2 crystal.

Cell lengths 4.621, 4.621, 7.422 Å; angles 90.00, 90.00, 120.00 degrees
Fractional coordinates of all 12 atoms:
Co 0.333 0.667 0.067
Co 0.333 0.667 0.433
Co 0.667 0.333 0.567
Co 0.667 0.333 0.933
Ni 0.000 0.000 0.000
Ni 0.000 0.000 0.500
Ni 0.171 0.341 0.750
Ni 0.171 0.829 0.750
Ni 0.341 0.171 0.250
Ni 0.659 0.829 0.750
Ni 0.829 0.171 0.250
Ni 0.829 0.659 0.250

Computed properties:
For the calculated total energy, the calculation gives -72.10 eV/cell. The spin magnetization is 3.09 μB per formula unit. Its energy of formation is 0.215 eV/atom. The symmetry is P6_3/mmc (194).


Density functional theory data (PBE-GGA) for a relaxed Co4Ni crystal.

Cell lengths 5.910, 5.910, 5.910 Å; angles 146.90, 146.90, 47.51 degrees
Fractional coordinates of all 5 atoms:
Co 0.101 0.101 0.000
Co 0.250 0.750 0.500
Co 0.750 0.250 0.500
Co 0.899 0.899 0.000
Ni 0.500 0.500 0.000

Computed properties:
For the calculated total energy, the calculation gives -31.90 eV/cell. The spin magnetization is 7.43 μB per formula unit. Its energy of formation is 0.461 eV/atom. The symmetry is I4/mmm (139).